Below is crystalline LiYbGe at its relaxed geometry, with properties calculated at the PBE level.

Structure (POSCAR):
```
LiYbGe
1.0
8.007 0.000 0.000
-4.003 6.934 0.000
0.000 0.000 3.464
Li Yb Ge
3 3 3
direct
0.000 0.730 0.000 Li
0.270 0.270 0.000 Li
0.730 0.000 0.000 Li
0.000 0.388 0.500 Yb
0.388 0.000 0.500 Yb
0.612 0.612 0.500 Yb
0.000 0.000 0.500 Ge
0.333 0.667 0.000 Ge
0.667 0.333 0.000 Ge
```

Calculated values
The value obtained for the total magnetization is 0.00 μB per atom. The calculation puts the total energy at -3.20 eV per atom.